No. 1
# MgAl2Tc, optimized geometry, DFT PBE-GGA
# Calculated total energy (eV/atom): -5.121
# Calculated formation energy (eV per atom): -0.260
data_MgAl2Tc
_chemical_formula_sum 'Mg1 Al2 Tc1'
_space_group_name_H-M_alt 'P 1'
_space_group_IT_number 1
_cell_length_a 3.2846
_cell_length_b 3.2845
_cell_length_c 5.9050
_cell_angle_alpha 90.00
_cell_angle_beta 90.00
_cell_angle_gamma 90.00
loop_
_space_group_symop_operation_xyz
'x,y,z'
loop_
_atom_site_label
_atom_site_fract_x
_atom_site_fract_y
_atom_site_fract_z
Tc1 0.5000 0.5000 0.7500
Al1 0.0000 0.0000 0.9667
Al2 0.0000 0.0000 0.5333
Mg1 0.5000 0.5000 0.2500

=====

No. 2
# MgAlVTc, optimized geometry, DFT PBE-GGA
# Calculated total energy (eV/atom): -6.314
# Calculated formation energy (eV per atom): -0.108
data_MgAlVTc
_chemical_formula_sum 'Mg1 Al1 V1 Tc1'
_space_group_name_H-M_alt 'P 1'
_space_group_IT_number 1
_cell_length_a 4.3837
_cell_length_b 4.3837
_cell_length_c 4.3837
_cell_angle_alpha 60.00
_cell_angle_beta 60.00
_cell_angle_gamma 60.00
loop_
_space_group_symop_operation_xyz
'x,y,z'
loop_
_atom_site_label
_atom_site_fract_x
_atom_site_fract_y
_atom_site_fract_z
Tc1 0.5000 0.5000 0.5000
Al1 0.2500 0.2500 0.2500
V1 0.7500 0.7500 0.7500
Mg1 0.0000 0.0000 0.0000

=====

No. 3
# Y2MgAlTc, optimized geometry, DFT PBE-GGA
# Calculated total energy (eV/atom): -4.800
# Calculated formation energy (eV per atom): 0.926
data_Y2MgAlTc
_chemical_formula_sum 'Y2 Mg1 Al1 Tc1'
_space_group_name_H-M_alt 'P 1'
_space_group_IT_number 1
_cell_length_a 5.4663
_cell_length_b 4.8396
_cell_length_c 5.4663
_cell_angle_alpha 90.00
_cell_angle_beta 90.00
_cell_angle_gamma 90.00
loop_
_space_group_symop_operation_xyz
'x,y,z'
loop_
_atom_site_label
_atom_site_fract_x
_atom_site_fract_y
_atom_site_fract_z
Tc1 0.5000 0.5000 0.5000
Y1 0.5000 0.0000 0.0000
Y2 0.0000 0.0000 0.5000
Al1 0.0000 0.0000 0.0000
Mg1 0.0000 0.5000 0.0000

=====

No. 4
# Mg4AlTe, optimized geometry, DFT PBE-GGA
# Calculated total energy (eV/atom): -2.103
data_Mg4AlTe
_chemical_formula_sum 'Mg4 Al1 Te1'
_space_group_name_H-M_alt 'P 1'
_space_group_IT_number 1
_cell_length_a 5.8368
_cell_length_b 5.8368
_cell_length_c 5.8368
_cell_angle_alpha 60.00
_cell_angle_beta 60.00
_cell_angle_gamma 60.00
loop_
_space_group_symop_operation_xyz
'x,y,z'
loop_
_atom_site_label
_atom_site_fract_x
_atom_site_fract_y
_atom_site_fract_z
Mg1 0.8769 0.3744 0.3744
Mg2 0.3744 0.3744 0.3744
Mg3 0.3744 0.8769 0.3744
Mg4 0.3744 0.3744 0.8769
Al1 0.0000 0.0000 0.0000
Te1 0.7500 0.7500 0.7500

=====

No. 5
# MgAl3Te6, optimized geometry, DFT PBE-GGA
# Calculated total energy (eV/atom): -3.358
data_MgAl3Te6
_chemical_formula_sum 'Mg1 Al3 Te6'
_space_group_name_H-M_alt 'P 1'
_space_group_IT_number 1
_cell_length_a 7.5683
_cell_length_b 7.9848
_cell_length_c 7.9855
_cell_angle_alpha 64.60
_cell_angle_beta 64.63
_cell_angle_gamma 64.60
loop_
_space_group_symop_operation_xyz
'x,y,z'
loop_
_atom_site_label
_atom_site_fract_x
_atom_site_fract_y
_atom_site_fract_z
Te1 0.2606 0.7444 0.7442
Te2 0.2788 0.2326 0.7115
Te3 0.7233 0.2901 0.7661
Te4 0.2767 0.7099 0.2339
Te5 0.7212 0.7674 0.2885
Te6 0.7394 0.2556 0.2558
Al1 0.5000 0.0000 0.5000
Al2 0.5000 0.5000 0.5000
Al3 0.5000 0.5000 0.0000
Mg1 0.0000 0.0000 0.0000

=====

No. 6
# MgAlTe3, optimized geometry, DFT PBE-GGA
# Calculated total energy (eV/atom): -3.382
# ΔE to the lowest computed polymorph (meV per atom): 0
data_MgAlTe3
_chemical_formula_sum 'Mg1 Al1 Te3'
_space_group_name_H-M_alt 'P 1'
_space_group_IT_number 1
_cell_length_a 4.3636
_cell_length_b 7.6712
_cell_length_c 7.4126
_cell_angle_alpha 125.85
_cell_angle_beta 90.01
_cell_angle_gamma 90.00
loop_
_space_group_symop_operation_xyz
'x,y,z'
loop_
_atom_site_label
_atom_site_fract_x
_atom_site_fract_y
_atom_site_fract_z
Te1 0.5121 0.6187 0.9406
Te2 0.5122 0.1058 0.4833
Te3 0.0118 0.4900 0.3240
Mg1 0.0122 0.8190 0.2475
Al1 0.5118 0.4670 0.5146